Pm2CrTeO8 (PBE+U, optimized geometry); energy = -7.04 eV per atom
1.0
4.953 0.000 0.000
0.311 4.970 0.000
0.068 0.046 6.649
Pm Cr Te O
2 1 1 8
Direct
0.048 0.459 0.245
0.952 0.541 0.755
0.500 0.000 0.000
0.500 0.000 0.500
0.215 0.274 0.533
0.230 0.267 0.967
0.305 0.856 0.262
0.356 0.793 0.734
0.644 0.207 0.266
0.695 0.144 0.738
0.770 0.733 0.033
0.785 0.726 0.467